#P
Computed, not measured: a relaxed Mn2NiCl crystal at the GGA-PBEsol level of DFT.

## Properties
* size of the total moment: 2.02 μB per atom

```
Mn2NiCl
1.0
-1.5382 2.3760 3.7970
1.5382 -2.3760 3.7970
1.5382 2.3760 -3.7970
Mn Ni Cl
2 1 1
Direct
0.2466 0.2466 0.0000
0.7534 0.7534 0.0000
0.5000 0.0000 0.5000
0.0000 0.5000 0.5000
```


#Q
Computed, not measured: a relaxed Mn2NiCl crystal at the GGA-PBEsol level of DFT.

## Properties
* size of the total moment: 0.19 μB per atom

```
Mn2NiCl
1.0
0.0000 2.9592 2.9592
2.9592 0.0000 2.9592
2.9592 2.9592 0.0000
Mn Ni Cl
2 1 1
Direct
0.0000 0.0000 0.0000
0.2500 0.2500 0.2500
0.5000 0.5000 0.5000
0.7500 0.7500 0.7500
```


The winner here is #P, beating the second structure by 9.7 kJ/mol of atoms.